Entry 1:
Material: MgRu2W
Method: DFT, PBEsol
State: relaxed

a b c (Å): 2.731 4.226 5.163
angles (deg): 90.00 100.30 90.00
Fractional coordinates of all 4 atoms:
Mg 0.000 0.000 0.000
Ru 0.057 0.000 0.499
Ru 0.500 0.500 0.214
W 0.483 0.500 0.723

The energy relative to the elements is 219.4 meV per atom. As for the raw total energy: -8.75 eV per atom.

***

Entry 2:
Material: Mg2RuW
Method: DFT, PBEsol
State: relaxed

a b c (Å): 9.378 9.378 9.378
angles (deg): 17.30 17.30 17.30
Fractional coordinates of all 4 atoms:
Mg 0.245 0.245 0.245
Mg 0.755 0.755 0.755
Ru 0.500 0.500 0.500
W 0.000 0.000 0.000

The offset from the most stable computed form is 0.51 eV per formula unit. The energy relative to the elements is 409.8 meV per atom. As for the raw total energy: -6.44 eV per atom.

***

Entry 3:
Material: MgRu2W
Method: DFT, PBEsol
State: relaxed

a b c (Å): 2.681 2.681 9.117
angles (deg): 90.00 90.00 114.00
Fractional coordinates of all 4 atoms:
Mg 0.000 0.000 0.000
Ru 0.000 0.000 0.513
Ru 0.500 0.500 0.755
W 0.500 0.500 0.273

The energy relative to the elements is 412.7 meV per atom. As for the raw total energy: -8.55 eV per atom.

***

The records above give, respectively, volume values of 14.66 15.91 14.96 A^3/atom.